! PuTiAgS4 | Alexandria | PBE | optimized geometry; values from VASP
! Volume: 22.227 Å³ per atom
! Energy relative to the elements, uncorrected: -112 kJ per mole of atoms
! Final energy: -0.522 Ry per atom
! N(E_F): 18.89 states/eV per cell
&SYSTEM
  ibrav = 0, nat = 14, ntyp = 4
/
ATOMIC_SPECIES
Pu 244.00 Pu.upf
Ti 47.87 Ti.upf
Ag 107.87 Ag.upf
S 32.06 S.upf
CELL_PARAMETERS angstrom
7.282 0.000 0.000
-3.641 6.628 -0.677
0.000 -4.180 6.874
ATOMIC_POSITIONS crystal
Pu 0.500 0.000 0.500
Pu 0.500 0.000 0.000
Ti 0.500 0.500 0.500
Ti 0.000 0.500 0.500
Ag 0.852 0.704 0.102
Ag 0.148 0.296 0.898
S 0.753 0.506 0.714
S 0.274 0.038 0.269
S 0.764 0.038 0.269
S 0.753 0.506 0.292
S 0.247 0.494 0.708
S 0.726 0.962 0.731
S 0.236 0.962 0.731
S 0.247 0.494 0.286